# 1
Below is an optimized crystal structure of Li2BeCd, with properties calculated at the PBE level.

Computed properties:
- Offset from the most stable computed form: 0.089 eV per atom
- Energy of formation: 0.112 eV per atom
- Space group: Pmm2

Cell lengths 2.719, 4.084, 5.553 Å; angles 90.00, 90.00, 90.00 degrees
Atoms (fractional coordinates):
Li (0.000, 0.000, 0.000)
Li (0.500, 0.500, 0.259)
Be (0.000, 0.000, 0.506)
Cd (0.500, 0.500, 0.730)


# 2
Below is an optimized crystal structure of Li2BeCd, with properties calculated at the PBE level.

Computed properties:
- Offset from the most stable computed form: 0.104 eV per atom
- Energy of formation: 0.127 eV per atom
- Space group: C2/m

Cell lengths 5.149, 8.946, 2.794 Å; angles 90.00, 108.61, 90.00 degrees
Atoms (fractional coordinates):
Li (0.250, 0.250, 0.000)
Li (0.250, 0.750, 0.000)
Li (0.750, 0.250, 0.000)
Li (0.750, 0.750, 0.000)
Be (0.000, 0.000, 0.500)
Be (0.500, 0.500, 0.500)
Cd (0.000, 0.500, 0.500)
Cd (0.500, 0.000, 0.500)


# 3
Below is an optimized crystal structure of Li2BeCd, with properties calculated at the PBE level.

Computed properties:
- Offset from the most stable computed form: 0.000 eV per atom
- Energy of formation: 0.023 eV per atom
- Space group: I-4m2

Cell lengths 4.352, 4.352, 6.170 Å; angles 90.00, 90.00, 90.00 degrees
Atoms (fractional coordinates):
Li (0.000, 0.000, 0.000)
Li (0.000, 0.500, 0.250)
Li (0.500, 0.000, 0.750)
Li (0.500, 0.500, 0.500)
Be (0.000, 0.000, 0.500)
Be (0.500, 0.500, 0.000)
Cd (0.000, 0.500, 0.750)
Cd (0.500, 0.000, 0.250)


# 4
Below is an optimized crystal structure of LiLuBeCd, with properties calculated at the PBE level.

Computed properties:
- Energy of formation: -0.050 eV per atom
- Space group: F-43m

Cell lengths 6.484, 6.484, 6.484 Å; angles 90.00, 90.00, 90.00 degrees
Atoms (fractional coordinates):
Li (0.000, 0.000, 0.000)
Li (0.000, 0.500, 0.500)
Li (0.500, 0.000, 0.500)
Li (0.500, 0.500, 0.000)
Lu (0.250, 0.250, 0.750)
Lu (0.250, 0.750, 0.250)
Lu (0.750, 0.250, 0.250)
Lu (0.750, 0.750, 0.750)
Be (0.000, 0.000, 0.500)
Be (0.000, 0.500, 0.000)
Be (0.500, 0.000, 0.000)
Be (0.500, 0.500, 0.500)
Cd (0.250, 0.250, 0.250)
Cd (0.250, 0.750, 0.750)
Cd (0.750, 0.250, 0.750)
Cd (0.750, 0.750, 0.250)


# 5
Below is an optimized crystal structure of LiMgBeCd, with properties calculated at the PBE level.

Computed properties:
- Energy of formation: 0.031 eV per atom
- Space group: F-43m

Cell lengths 6.300, 6.300, 6.300 Å; angles 90.00, 90.00, 90.00 degrees
Atoms (fractional coordinates):
Li (0.000, 0.000, 0.000)
Li (0.000, 0.500, 0.500)
Li (0.500, 0.000, 0.500)
Li (0.500, 0.500, 0.000)
Mg (0.250, 0.250, 0.250)
Mg (0.250, 0.750, 0.750)
Mg (0.750, 0.250, 0.750)
Mg (0.750, 0.750, 0.250)
Be (0.000, 0.000, 0.500)
Be (0.000, 0.500, 0.000)
Be (0.500, 0.000, 0.000)
Be (0.500, 0.500, 0.500)
Cd (0.250, 0.250, 0.750)
Cd (0.250, 0.750, 0.250)
Cd (0.750, 0.250, 0.250)
Cd (0.750, 0.750, 0.750)


# 6
Below is an optimized crystal structure of Li2Be2CdPd5, with properties calculated at the PBE level.

Computed properties:
- Energy of formation: -0.449 eV per atom
- Space group: P4/mbm

Cell lengths 9.833, 9.833, 3.074 Å; angles 90.00, 90.00, 90.00 degrees
Atoms (fractional coordinates):
Li (0.174, 0.326, 0.000)
Li (0.326, 0.826, 0.000)
Li (0.674, 0.174, 0.000)
Li (0.826, 0.674, 0.000)
Be (0.123, 0.623, 0.000)
Be (0.377, 0.123, 0.000)
Be (0.623, 0.877, 0.000)
Be (0.877, 0.377, 0.000)
Cd (0.000, 0.000, 0.000)
Cd (0.500, 0.500, 0.000)
Pd (0.000, 0.500, 0.500)
Pd (0.072, 0.781, 0.500)
Pd (0.219, 0.072, 0.500)
Pd (0.281, 0.572, 0.500)
Pd (0.428, 0.281, 0.500)
Pd (0.500, 0.000, 0.500)
Pd (0.572, 0.719, 0.500)
Pd (0.719, 0.428, 0.500)
Pd (0.781, 0.928, 0.500)
Pd (0.928, 0.219, 0.500)


# 7
Below is an optimized crystal structure of LiBeCdPt, with properties calculated at the PBE level.

Computed properties:
- Energy of formation: -0.345 eV per atom
- Space group: F-43m

Cell lengths 6.002, 6.002, 6.002 Å; angles 90.00, 90.00, 90.00 degrees
Atoms (fractional coordinates):
Li (0.000, 0.000, 0.000)
Li (0.000, 0.500, 0.500)
Li (0.500, 0.000, 0.500)
Li (0.500, 0.500, 0.000)
Be (0.000, 0.000, 0.500)
Be (0.000, 0.500, 0.000)
Be (0.500, 0.000, 0.000)
Be (0.500, 0.500, 0.500)
Cd (0.250, 0.250, 0.750)
Cd (0.250, 0.750, 0.250)
Cd (0.750, 0.250, 0.250)
Cd (0.750, 0.750, 0.750)
Pt (0.250, 0.250, 0.250)
Pt (0.250, 0.750, 0.750)
Pt (0.750, 0.250, 0.750)
Pt (0.750, 0.750, 0.250)


# 8
Below is an optimized crystal structure of LiBe2CdPt, with properties calculated at the PBE level.

Computed properties:
- Energy of formation: 0.560 eV per atom
- Space group: P4/mmm

Cell lengths 4.091, 4.091, 4.188 Å; angles 90.00, 90.00, 90.00 degrees
Atoms (fractional coordinates):
Li (0.000, 0.000, 0.000)
Be (0.000, 0.500, 0.000)
Be (0.500, 0.000, 0.000)
Cd (0.500, 0.500, 0.500)
Pt (0.000, 0.000, 0.500)


# 9
Below is an optimized crystal structure of LiBeCdPt2, with properties calculated at the PBE level.

Computed properties:
- Energy of formation: -0.306 eV per atom
- Space group: P4/mmm

Cell lengths 4.228, 4.228, 4.323 Å; angles 90.00, 90.00, 90.00 degrees
Atoms (fractional coordinates):
Li (0.000, 0.000, 0.000)
Be (0.000, 0.000, 0.500)
Cd (0.500, 0.500, 0.000)
Pt (0.000, 0.500, 0.500)
Pt (0.500, 0.000, 0.500)


# 10
Below is an optimized crystal structure of LiBeCd2Re, with properties calculated at the PBE level.

Computed properties:
- Energy of formation: 1.246 eV per atom
- Space group: P4/mmm

Cell lengths 4.372, 4.372, 4.442 Å; angles 90.00, 90.00, 90.00 degrees
Atoms (fractional coordinates):
Li (0.000, 0.000, 0.000)
Be (0.500, 0.500, 0.500)
Cd (0.000, 0.500, 0.000)
Cd (0.500, 0.000, 0.000)
Re (0.000, 0.000, 0.500)


# 11
Below is an optimized crystal structure of LiTaBeCd2, with properties calculated at the PBE level.

Computed properties:
- Energy of formation: 0.821 eV per atom
- Space group: P4/mmm

Cell lengths 4.427, 4.427, 4.191 Å; angles 90.00, 90.00, 90.00 degrees
Atoms (fractional coordinates):
Li (0.000, 0.000, 0.000)
Ta (0.500, 0.500, 0.500)
Be (0.000, 0.000, 0.500)
Cd (0.000, 0.500, 0.000)
Cd (0.500, 0.000, 0.000)


# 12
Below is an optimized crystal structure of LiTbBeCd, with properties calculated at the PBE level.

Computed properties:
- Energy of formation: -0.073 eV per atom
- Space group: F-43m

Cell lengths 6.602, 6.602, 6.602 Å; angles 90.00, 90.00, 90.00 degrees
Atoms (fractional coordinates):
Li (0.000, 0.000, 0.000)
Li (0.000, 0.500, 0.500)
Li (0.500, 0.000, 0.500)
Li (0.500, 0.500, 0.000)
Tb (0.250, 0.250, 0.750)
Tb (0.250, 0.750, 0.250)
Tb (0.750, 0.250, 0.250)
Tb (0.750, 0.750, 0.750)
Be (0.000, 0.000, 0.500)
Be (0.000, 0.500, 0.000)
Be (0.500, 0.000, 0.000)
Be (0.500, 0.500, 0.500)
Cd (0.250, 0.250, 0.250)
Cd (0.250, 0.750, 0.750)
Cd (0.750, 0.250, 0.750)
Cd (0.750, 0.750, 0.250)


Question: Which of these has the highest energy of formation?
Answer: LiBeCd2Re